No. 1
Li3U2VN6 | the Alexandria database | PBE | relaxed; ρ = 8.16 g/cm³; DOS(E_F) = 0.51 states/eV per atom; space-group type = C2/m, No. 12; total energy = -99.32 eV per formula unit; ΔE_f (raw) = -11.9 eV/f.u.
1.0
3.3005 0.0000 0.0000
0.0000 5.8085 0.6927
-1.6502 -1.1750 6.5691
Li U V N
3 2 1 6
direct
0.5000 0.5000 0.0000
0.8785 0.2531 0.7570
0.1215 0.7469 0.2430
0.8173 0.7436 0.6347
0.1827 0.2564 0.3653
0.5000 0.0000 0.0000
0.3441 0.9998 0.6882
0.6701 0.5067 0.3402
0.6559 0.0002 0.3118
0.0224 0.2251 0.0449
0.9776 0.7749 0.9551
0.3299 0.4933 0.6598

No. 2
Li2UV3N6 | the Alexandria database | PBE | relaxed; ρ = 7.01 g/cm³; DOS(E_F) = 0.37 states/eV per atom; space-group type = C2/m, No. 12; total energy = -105.75 eV per formula unit; ΔE_f (raw) = -13.3 eV/f.u.
1.0
-4.7140 1.3411 1.5031
0.6725 -3.8212 -3.3506
1.5129 -2.5802 4.4232
Li U V N
2 1 3 6
direct
0.3345 0.6655 0.0000
0.6655 0.3345 0.0000
0.0000 0.0000 0.0000
0.1870 0.8130 0.5000
0.8130 0.1870 0.5000
0.5000 0.5000 0.5000
0.9070 0.5729 0.7298
0.7637 0.7637 0.2744
0.0930 0.4271 0.2702
0.5729 0.9070 0.7298
0.2363 0.2363 0.7256
0.4271 0.0930 0.2702

No. 3
Li3U3WN8 | the Alexandria database | PBE | relaxed; ρ = 8.68 g/cm³; DOS(E_F) = 0.57 states/eV per atom; space-group type = R-3m, No. 166; total energy = -132.91 eV per formula unit; ΔE_f (raw) = -13.7 eV/f.u.
1.0
-5.8594 -1.5734 2.8621
2.0169 -3.2428 -5.5150
2.9397 -0.7584 5.6014
Li U W N
3 3 1 8
direct
0.0000 0.0000 0.0000
0.0000 0.5000 0.0000
0.5000 0.5000 0.0000
0.5000 0.0000 0.5000
0.5000 0.5000 0.5000
0.0000 0.5000 0.5000
0.0000 0.0000 0.5000
0.2606 0.5211 0.2818
0.7394 0.4789 0.7182
0.7763 0.5526 0.2963
0.2237 0.4474 0.7037
0.7763 0.0200 0.2963
0.2237 0.9800 0.7037
0.2437 0.0200 0.2963
0.7563 0.9800 0.7037

No. 4
Li2UW3N6 | the Alexandria database | PBE | relaxed; ρ = 11.73 g/cm³; DOS(E_F) = 0.53 states/eV per atom; space-group type = C2/m, No. 12; total energy = -113.35 eV per formula unit; ΔE_f (raw) = -9.4 eV/f.u.
1.0
5.2711 -0.0317 0.0154
-2.6617 4.5498 0.0154
-0.8549 -1.4802 5.2479
Li U W N
2 1 3 6
direct
0.3336 0.6664 0.0000
0.6664 0.3336 0.0000
0.0000 0.0000 0.0000
0.1837 0.8163 0.5000
0.8163 0.1837 0.5000
0.5000 0.5000 0.5000
0.9103 0.5733 0.7482
0.7594 0.7594 0.2757
0.0897 0.4267 0.2518
0.5733 0.9103 0.7482
0.2406 0.2406 0.7243
0.4267 0.0897 0.2518

No. 5
Li4U3WN8 | the Alexandria database | PBE | relaxed; ρ = 8.76 g/cm³; DOS(E_F) = 0.77 states/eV per atom; space-group type = R-3m, No. 166; total energy = -135.92 eV per formula unit; ΔE_f (raw) = -14.8 eV/f.u.
1.0
6.6632 0.0000 0.0000
0.0000 6.3968 -0.1836
-3.3316 -3.3338 4.7123
Li U W N
4 3 1 8
direct
0.5000 0.0000 0.0000
0.5000 0.0000 0.5000
0.0000 0.0000 0.0000
0.0000 0.0000 0.5000
0.5000 0.5000 0.0000
0.5000 0.5000 0.5000
0.0000 0.5000 0.5000
0.0000 0.5000 0.0000
0.2309 0.7120 0.9808
0.2309 0.7120 0.4618
0.2608 0.2820 0.5215
0.7499 0.7120 0.9808
0.2501 0.2880 0.0192
0.7392 0.7180 0.4785
0.7691 0.2880 0.5382
0.7691 0.2880 0.0192

No. 6
LiYUN3 | the Alexandria database | PBE | relaxed; ρ = 7.76 g/cm³; DOS(E_F) = 0.58 states/eV per atom; space-group type = P2_1/m, No. 11; total energy = -51.69 eV per formula unit; ΔE_f (raw) = -7.0 eV/f.u.
1.0
-2.5711 1.4989 1.6603
-0.5678 -5.6424 4.2146
4.4628 3.8267 3.4564
Li Y U N
2 2 2 6
direct
0.2500 0.0724 0.5792
0.7500 0.9276 0.4208
0.2500 0.1751 0.2097
0.7500 0.8249 0.7903
0.2500 0.6702 0.1844
0.7500 0.3298 0.8156
0.7500 0.8839 0.1394
0.2500 0.1161 0.8606
0.2500 0.7920 0.4855
0.7500 0.2080 0.5145
0.7500 0.4163 0.1328
0.2500 0.5837 0.8672

No. 7
LiY2UN4 | the Alexandria database | PBE | relaxed; ρ = 7.07 g/cm³; DOS(E_F) = 0.61 states/eV per atom; space-group type = P2/m, No. 10; total energy = -70.03 eV per formula unit; ΔE_f (raw) = -10.6 eV/f.u.
1.0
3.5010 0.0000 0.0000
0.0000 5.7448 0.2381
0.0000 -1.8788 5.5121
Li Y U N
1 2 1 4
direct
0.0000 0.0000 0.0000
0.5000 0.0000 0.5000
0.0000 0.5000 0.5000
0.5000 0.5000 0.0000
0.5000 0.2926 0.2419
0.5000 0.7074 0.7581
0.0000 0.2536 0.7557
0.0000 0.7464 0.2443

No. 8
Li3U2ZnN6 | the Alexandria database | PBE | relaxed; ρ = 7.37 g/cm³; DOS(E_F) = 0.29 states/eV per atom; space-group type = C2/m, No. 12; total energy = -88.62 eV per formula unit; ΔE_f (raw) = -9.1 eV/f.u.
1.0
3.5201 0.0000 0.0000
0.0000 6.5083 0.2590
-1.7601 -1.8280 6.2857
Li U Zn N
3 2 1 6
direct
0.5000 0.5000 0.0000
0.8386 0.1672 0.6771
0.1614 0.8328 0.3229
0.8411 0.6897 0.6821
0.1589 0.3103 0.3179
0.5000 0.0000 0.0000
0.3362 0.8924 0.6724
0.6772 0.5492 0.3543
0.6638 0.1076 0.3276
0.0037 0.2430 0.0073
0.9963 0.7570 0.9927
0.3228 0.4508 0.6457